A geometry-optimized PaAlH6Ru2 structure, computed with PBE.

Output
Its density of states at the Fermi level is 0.54 states/eV per cell. The calculation puts the total energy at -5.531 eV/atom.

```
PaAlH6Ru2
1.0
2.196 1.268 5.178
-2.196 1.268 5.178
0.000 -2.536 5.178
Pa Al H Ru
1 1 6 2
Direct
0.000 0.000 0.000
0.500 0.500 0.500
0.088 0.543 0.543
0.457 0.457 0.912
0.457 0.912 0.457
0.543 0.088 0.543
0.543 0.543 0.088
0.912 0.457 0.457
0.213 0.213 0.213
0.787 0.787 0.787
```